Record 1
# Zr3GaP | Alexandria | PBE | relaxed
# Final energy, eV/atom: -7.146
# Crystal system: cubic
# ΔH_f (0 K), kJ/mol of atoms: -32
# D(E_F), states/eV per cell: 2.95
# Polymorph energy (0 for the lowest one), eV/atom: 0.000
data_Zr3GaP
_chemical_formula_sum 'Zr3 Ga1 P1'
_cell_length_a 4.847
_cell_length_b 4.847
_cell_length_c 4.847
_cell_angle_alpha 90.00
_cell_angle_beta 90.00
_cell_angle_gamma 90.00
_symmetry_space_group_name_H-M 'P 1'
_symmetry_Int_Tables_number 1
loop_
_symmetry_equiv_pos_as_xyz
'x,y,z'
loop_
_atom_site_label
_atom_site_fract_x
_atom_site_fract_y
_atom_site_fract_z
Zr1 0.000 0.000 0.500
Zr2 0.000 0.500 0.000
Zr3 0.500 0.000 0.000
Ga1 0.500 0.500 0.500
P1 0.000 0.000 0.000



Record 2
# Zr2TeAs | Alexandria | PBE | relaxed
# Formation energy without anion corrections, meV/atom: -943
# Final energy, eV/atom: -7.165
# Crystal system: trigonal
# D(E_F), states/eV per cell: 5.03
# Polymorph energy (0 for the lowest one), eV/atom: 0.029
data_Zr2TeAs
_chemical_formula_sum 'Zr6 Te3 As3'
_cell_length_a 4.023
_cell_length_b 4.023
_cell_length_c 19.961
_cell_angle_alpha 90.00
_cell_angle_beta 90.00
_cell_angle_gamma 120.00
_symmetry_space_group_name_H-M 'P 1'
_symmetry_Int_Tables_number 1
loop_
_symmetry_equiv_pos_as_xyz
'x,y,z'
loop_
_atom_site_label
_atom_site_fract_x
_atom_site_fract_y
_atom_site_fract_z
Zr1 0.000 0.000 0.231
Zr2 0.000 0.000 0.769
Zr3 0.333 0.667 0.435
Zr4 0.333 0.667 0.898
Zr5 0.667 0.333 0.102
Zr6 0.667 0.333 0.565
Te1 0.000 0.000 0.000
Te2 0.333 0.667 0.667
Te3 0.667 0.333 0.333
As1 0.000 0.000 0.500
As2 0.333 0.667 0.167
As3 0.667 0.333 0.833



Record 3
# SiHg2F | Alexandria | PBE | relaxed
# Formation energy without anion corrections, meV/atom: -151
# Final energy, eV/atom: -2.125
# Crystal system: cubic
# D(E_F), states/eV per cell: 9.36
# Polymorph energy (0 for the lowest one), eV/atom: 0.098
data_SiHg2F
_chemical_formula_sum 'Si4 Hg8 F4'
_cell_length_a 6.682
_cell_length_b 6.682
_cell_length_c 6.682
_cell_angle_alpha 90.00
_cell_angle_beta 90.00
_cell_angle_gamma 90.00
_symmetry_space_group_name_H-M 'P 1'
_symmetry_Int_Tables_number 1
loop_
_symmetry_equiv_pos_as_xyz
'x,y,z'
loop_
_atom_site_label
_atom_site_fract_x
_atom_site_fract_y
_atom_site_fract_z
Si1 0.000 0.000 0.000
Si2 0.000 0.500 0.500
Si3 0.500 0.000 0.500
Si4 0.500 0.500 0.000
Hg1 0.250 0.250 0.250
Hg2 0.250 0.250 0.750
Hg3 0.250 0.750 0.250
Hg4 0.250 0.750 0.750
Hg5 0.750 0.250 0.250
Hg6 0.750 0.250 0.750
Hg7 0.750 0.750 0.250
Hg8 0.750 0.750 0.750
F1 0.000 0.000 0.500
F2 0.000 0.500 0.000
F3 0.500 0.000 0.000
F4 0.500 0.500 0.500



Record 4
# Hf2SiSbC | Alexandria | PBE | relaxed
# Formation energy without anion corrections, meV/atom: 2423
# Final energy, eV/atom: -5.312
# Crystal system: tetragonal
# D(E_F), states/eV per cell: 5.24
data_Hf2SiSbC
_chemical_formula_sum 'Hf2 Si1 Sb1 C1'
_cell_length_a 5.280
_cell_length_b 5.280
_cell_length_c 4.910
_cell_angle_alpha 90.00
_cell_angle_beta 90.00
_cell_angle_gamma 90.00
_symmetry_space_group_name_H-M 'P 1'
_symmetry_Int_Tables_number 1
loop_
_symmetry_equiv_pos_as_xyz
'x,y,z'
loop_
_atom_site_label
_atom_site_fract_x
_atom_site_fract_y
_atom_site_fract_z
Hf1 0.000 0.500 0.000
Hf2 0.500 0.000 0.000
Si1 0.000 0.000 0.500
Sb1 0.000 0.000 0.000
C1 0.500 0.500 0.500



Record 5
# Ir2PbO6 | Alexandria | PBE | relaxed
# Formation energy without anion corrections, meV/atom: -819
# Final energy, eV/atom: -6.506
# Crystal system: trigonal
# D(E_F), states/eV per cell: 5.47
data_Ir2PbO6
_chemical_formula_sum 'Ir2 Pb1 O6'
_cell_length_a 5.365
_cell_length_b 5.365
_cell_length_c 5.093
_cell_angle_alpha 90.00
_cell_angle_beta 90.00
_cell_angle_gamma 120.00
_symmetry_space_group_name_H-M 'P 1'
_symmetry_Int_Tables_number 1
loop_
_symmetry_equiv_pos_as_xyz
'x,y,z'
loop_
_atom_site_label
_atom_site_fract_x
_atom_site_fract_y
_atom_site_fract_z
Ir1 0.333 0.667 0.000
Ir2 0.667 0.333 0.000
Pb1 0.000 0.000 0.500
O1 0.000 0.379 0.207
O2 0.000 0.621 0.793
O3 0.379 0.000 0.207
O4 0.379 0.379 0.793
O5 0.621 0.000 0.793
O6 0.621 0.621 0.207



Record 6
# KP2W | Alexandria | PBE | relaxed
# Final energy, eV/atom: -5.924
# Crystal system: orthorhombic
# ΔH_f (0 K), kJ/mol of atoms: 28
# D(E_F), states/eV per cell: 4.49
# Polymorph energy (0 for the lowest one), eV/atom: 0.497
data_KP2W
_chemical_formula_sum 'K2 P4 W2'
_cell_length_a 3.046
_cell_length_b 6.987
_cell_length_c 9.511
_cell_angle_alpha 90.00
_cell_angle_beta 90.00
_cell_angle_gamma 90.00
_symmetry_space_group_name_H-M 'P 1'
_symmetry_Int_Tables_number 1
loop_
_symmetry_equiv_pos_as_xyz
'x,y,z'
loop_
_atom_site_label
_atom_site_fract_x
_atom_site_fract_y
_atom_site_fract_z
K1 0.000 0.000 0.000
K2 0.500 0.500 0.500
P1 0.000 0.500 0.194
P2 0.000 0.500 0.806
P3 0.500 0.000 0.306
P4 0.500 0.000 0.694
W1 0.000 0.000 0.500
W2 0.500 0.500 0.000